1.
Below is CoBi3Se after structural relaxation, with properties calculated at the GGA-PBEsol level.

Size of the total moment in μB per cell: 1.69
E_tot in hartree per atom: -0.13586
Raw formation energy in eV per atom: 1.19

a = 5.4208 Å, b = 5.4208 Å, c = 5.4208 Å
α = 90.00°, β = 90.00°, γ = 90.00°
Atoms (fractional coordinates):
Co  0.0000  0.0000  0.0000
Bi  0.0000  0.5000  0.5000
Bi  0.5000  0.0000  0.5000
Bi  0.5000  0.5000  0.0000
Se  0.5000  0.5000  0.5000

=====

2.
Below is NaTcSeBr2 after structural relaxation, with properties calculated at the GGA-PBEsol level.

Size of the total moment in μB per cell: 3.99
E_tot in hartree per atom: -0.11949
Raw formation energy in eV per atom: 0.80

a = 5.0437 Å, b = 5.0437 Å, c = 5.2717 Å
α = 90.00°, β = 90.00°, γ = 90.00°
Atoms (fractional coordinates):
Na  0.0000  0.0000  0.0000
Tc  0.5000  0.5000  0.5000
Se  0.0000  0.0000  0.5000
Br  0.0000  0.5000  0.0000
Br  0.5000  0.0000  0.0000

=====

3.
Below is ScTi3Te after structural relaxation, with properties calculated at the GGA-PBEsol level.

Size of the total moment in μB per cell: 0.00
E_tot in hartree per atom: -0.23783
Raw formation energy in eV per atom: 0.55

a = 4.9301 Å, b = 4.9301 Å, c = 4.9301 Å
α = 90.00°, β = 90.00°, γ = 90.00°
Atoms (fractional coordinates):
Sc  0.0000  0.0000  0.0000
Ti  0.0000  0.5000  0.5000
Ti  0.5000  0.0000  0.5000
Ti  0.5000  0.5000  0.0000
Te  0.5000  0.5000  0.5000

=====

4.
Below is YN after structural relaxation, with properties calculated at the GGA-PBEsol level.

Size of the total moment in μB per cell: 0.00
E_tot in hartree per atom: -0.35154
Raw formation energy in eV per atom: -1.89

a = 4.8550 Å, b = 4.8550 Å, c = 4.8550 Å
α = 90.00°, β = 90.00°, γ = 90.00°
Atoms (fractional coordinates):
Y  0.0000  0.0000  0.0000
Y  0.0000  0.5000  0.5000
Y  0.5000  0.0000  0.5000
Y  0.5000  0.5000  0.0000
N  0.0000  0.0000  0.5000
N  0.0000  0.5000  0.0000
N  0.5000  0.0000  0.0000
N  0.5000  0.5000  0.5000

=====

5.
Below is BaLi2Ca after structural relaxation, with properties calculated at the GGA-PBEsol level.

Offset from the most stable computed form in meV per atom: 26
Size of the total moment in μB per cell: 0.00
E_tot in hartree per atom: -0.07329

a = 5.1288 Å, b = 4.3840 Å, c = 12.9956 Å
α = 90.00°, β = 90.00°, γ = 90.00°
Atoms (fractional coordinates):
Ba  0.0000  0.0000  0.0000
Ba  0.0000  0.5000  0.5000
Li  0.0000  0.0000  0.2741
Li  0.0000  0.5000  0.7741
Li  0.5000  0.0000  0.4029
Li  0.5000  0.5000  0.9029
Ca  0.5000  0.0000  0.7000
Ca  0.5000  0.5000  0.2000

=====

6.
Below is Li2Mn2SbO6 after structural relaxation, with properties calculated at the GGA-PBEsol level.

Size of the total moment in μB per cell: 14.00
E_tot in hartree per atom: -0.25824
Raw formation energy in eV per atom: -1.62

a = 5.2494 Å, b = 5.2494 Å, c = 10.0513 Å
α = 90.00°, β = 90.00°, γ = 64.19°
Atoms (fractional coordinates):
Li  0.1008  0.3992  0.2500
Li  0.3992  0.1008  0.7500
Li  0.6008  0.8992  0.2500
Li  0.8992  0.6008  0.7500
Mn  0.1625  0.1625  0.0000
Mn  0.3375  0.3375  0.5000
Mn  0.6625  0.6625  0.5000
Mn  0.8375  0.8375  0.0000
Sb  0.0000  0.0000  0.5000
Sb  0.5000  0.5000  0.0000
O  0.0656  0.3024  0.6127
O  0.1597  0.8403  0.0909
O  0.1976  0.4344  0.8873
O  0.3024  0.0656  0.3873
O  0.3403  0.6597  0.5909
O  0.4344  0.1976  0.1127
O  0.5656  0.8024  0.8873
O  0.6597  0.3403  0.4091
O  0.6976  0.9344  0.6127
O  0.8024  0.5656  0.1127
O  0.8403  0.1597  0.9091
O  0.9344  0.6976  0.3873

=====

7.
Below is KBaPS4 after structural relaxation, with properties calculated at the GGA-PBEsol level.

Size of the total moment in μB per cell: 0.00
E_tot in hartree per atom: -0.18393
Raw formation energy in eV per atom: -1.20

a = 11.8687 Å, b = 6.6181 Å, c = 9.7236 Å
α = 90.00°, β = 90.00°, γ = 90.00°
Atoms (fractional coordinates):
K  0.1188  0.2500  0.1669
K  0.3812  0.7500  0.6669
K  0.6188  0.2500  0.3331
K  0.8812  0.7500  0.8331
Ba  0.1424  0.2500  0.6174
Ba  0.3576  0.7500  0.1174
Ba  0.6424  0.2500  0.8826
Ba  0.8576  0.7500  0.3826
P  0.1769  0.7500  0.3962
P  0.3231  0.2500  0.8962
P  0.6769  0.7500  0.1038
P  0.8231  0.2500  0.6038
S  0.0809  0.7500  0.5722
S  0.0840  0.7500  0.2188
S  0.2223  0.0004  0.8934
S  0.2223  0.4996  0.8934
S  0.2777  0.9996  0.3934
S  0.2777  0.5004  0.3934
S  0.4160  0.2500  0.7188
S  0.4191  0.2500  0.0722
S  0.5809  0.7500  0.9278
S  0.5840  0.7500  0.2812
S  0.7223  0.0004  0.6066
S  0.7223  0.4996  0.6066
S  0.7777  0.9996  0.1066
S  0.7777  0.5004  0.1066
S  0.9160  0.2500  0.7812
S  0.9191  0.2500  0.4278

=====

8.
Below is InNiAs2 after structural relaxation, with properties calculated at the GGA-PBEsol level.

Size of the total moment in μB per cell: 0.00
E_tot in hartree per atom: -0.16833

a = 5.3517 Å, b = 7.2510 Å, c = 3.6350 Å
α = 90.00°, β = 90.00°, γ = 90.00°
Atoms (fractional coordinates):
In  0.0000  0.0000  0.0000
In  0.5000  0.5000  0.0000
Ni  0.0000  0.5000  0.0000
Ni  0.5000  0.0000  0.0000
As  0.2500  0.2500  0.5000
As  0.2500  0.7500  0.5000
As  0.7500  0.2500  0.5000
As  0.7500  0.7500  0.5000